Material: SrHg2Ir
Method: DFT, GGA-PBE
State: optimized geometry

Cell: 4.421 5.959 4.422 Å, 69.31 87.26 110.68°
Positions (direct):
Hg: 0.000 0.000 0.000
Hg: 0.500 0.000 0.500
Ir: 0.000 0.500 0.500
Sr: 0.500 0.500 0.000

Calculated values
Its raw total energy is -10.36 eV/cell. Its formation energy is 0.197 eV/atom.